# GGA-PBE CsNaLi2Tl, optimized geometry
# * energy of formation: 0.08 eV/f.u.
# * density of states at the Fermi level: 3.79 states/eV/f.u.
# * space group: P4/mmm, No. 123
# * magnetic moment: 0.0 μB/f.u.
# * VASP energy: -1.657 eV per atom
data_CsNaLi2Tl
_chemical_formula_sum 'Cs1 Na1 Li2 Tl1'
_space_group_name_H-M_alt 'P 1'
_space_group_IT_number 1
_cell_length_a 5.653
_cell_length_b 5.653
_cell_length_c 6.063
_cell_angle_alpha 90.00
_cell_angle_beta 90.00
_cell_angle_gamma 90.00
loop_
_space_group_symop_operation_xyz
'x,y,z'
loop_
_atom_site_label
_atom_site_type_symbol
_atom_site_fract_x
_atom_site_fract_y
_atom_site_fract_z
Cs1 Cs 0.000 0.000 0.000
Na1 Na 0.500 0.500 0.000
Li1 Li 0.000 0.500 0.500
Li2 Li 0.500 0.000 0.500
Tl1 Tl 0.500 0.500 0.500

# GGA-PBE CsNaLiTl2, optimized geometry
# * energy of formation: 0.03 eV/f.u.
# * density of states at the Fermi level: 2.85 states/eV/f.u.
# * space group: P4/mmm, No. 123
# * magnetic moment: 0.0 μB/f.u.
# * VASP energy: -1.757 eV per atom
data_CsNaLiTl2
_chemical_formula_sum 'Cs1 Na1 Li1 Tl2'
_space_group_name_H-M_alt 'P 1'
_space_group_IT_number 1
_cell_length_a 5.484
_cell_length_b 5.484
_cell_length_c 5.971
_cell_angle_alpha 90.00
_cell_angle_beta 90.00
_cell_angle_gamma 90.00
loop_
_space_group_symop_operation_xyz
'x,y,z'
loop_
_atom_site_label
_atom_site_type_symbol
_atom_site_fract_x
_atom_site_fract_y
_atom_site_fract_z
Cs1 Cs 0.000 0.000 0.000
Na1 Na 0.500 0.500 0.000
Li1 Li 0.500 0.500 0.500
Tl1 Tl 0.000 0.500 0.500
Tl2 Tl 0.500 0.000 0.500

Look up the magnetic moment of the first one.
0.0 μB/f.u.

The highest density of states at the Fermi level belongs to which entry?
CsNaLi2Tl

Which value of energy of formation does entry 1 give?
0.08 eV/f.u.